# PBE TePb2Se4, relaxed
# Raw formation energy, meV/atom: -267
# Size of the total moment, μB per formula unit: 0.0
# Total energy, eV/atom: -3.767
data_TePb2Se4
_chemical_formula_sum 'Te8 Pb16 Se32'
_cell_length_a 14.128
_cell_length_b 14.319
_cell_length_c 9.060
_cell_angle_alpha 90.00
_cell_angle_beta 90.00
_cell_angle_gamma 90.00
_symmetry_space_group_name_H-M 'F d d 2'
_symmetry_Int_Tables_number 43
_symmetry_space_group_name_Hall 'F 2 -2d'
loop_
_atom_site_label
_atom_site_type_symbol
_atom_site_fract_x
_atom_site_fract_y
_atom_site_fract_z
Te1 Te 0.000 0.000 0.000
Pb1 Pb 0.019 0.244 0.715
Se1 Se 0.117 0.163 0.988
Se2 Se 0.125 0.177 0.432